Material: CrNiIO2
Method: DFT, GGA+U
State: optimized geometry

Cell: 3.904 3.904 5.678 Å, 90.00 90.00 90.00°
Site moments in Bohr magnetons follow the coordinates.
Positions (direct):
O 0.500 0.000 0.000  -0.49
O 0.000 0.500 0.000  -0.49
Ni 0.000 0.000 0.000  -0.24
Cr 0.500 0.500 0.500  4.25
I 0.000 0.000 0.500  -0.13

Values from the calculation:
energy = -4.181 eV/atom
ρ = 5.2 Mg/m³
total magnetization = 3.000 μB/f.u.
distance to the lowest polymorph of the same formula = 57.84 kJ/mol of atoms

***

Material: CrNiIO6
Method: DFT, GGA+U
State: optimized geometry

Cell: 5.091 5.091 8.968 Å, 90.00 90.00 120.00°
Site moments in Bohr magnetons follow the coordinates.
Positions (direct):
O 0.346 0.986 0.632  0.03
O 0.986 0.640 0.368  0.03
O 0.640 0.986 0.868  0.03
O 0.014 0.654 0.868  0.03
O 0.654 0.014 0.368  0.03
O 0.654 0.640 0.132  0.03
O 0.986 0.346 0.132  0.03
O 0.014 0.360 0.632  0.03
O 0.360 0.346 0.368  0.03
O 0.346 0.360 0.868  0.03
O 0.360 0.014 0.132  0.03
O 0.640 0.654 0.632  0.03
I 0.667 0.333 0.250  -0.01
I 0.333 0.667 0.750  -0.01
Cr 0.667 0.333 0.750  -2.92
Cr 0.333 0.667 0.250  -2.92
Ni 0.000 0.000 0.500  1.81
Ni 0.000 0.000 0.000  1.81

Values from the calculation:
energy = -5.508 eV/atom
ρ = 5.5 Mg/m³
total magnetization = 1.000 μB/f.u.